LaNbHgSb2 (PBE, relaxed); E_form (uncorrected) = 0.9968 eV per atom; SG = P4/mmm, No. 123; spin magnetization = 3.8 μB/cell; ΔE to the lowest computed polymorph = 344 meV per atom
1.0
-2.284 2.281 4.451
-4.378 -3.620 -0.391
2.673 -3.579 3.205
Sb Nb Hg La
2 1 1 1
direct
0.000 0.000 0.500
0.500 0.000 0.000
0.500 0.500 0.500
0.000 0.000 0.000
0.000 0.500 0.000